No. 1
Entry from Alexandria via LeMat-Bulk: crystalline ScBeCd2 at its relaxed geometry (PBE).

The structure in CIF format:
```
data_ScBeCd2
_chemical_formula_sum 'Sc1 Be1 Cd2'
_symmetry_space_group_name_H-M 'P 1'
_symmetry_Int_Tables_number 1
_cell_length_a 3.1712
_cell_length_b 4.3629
_cell_length_c 5.6425
_cell_angle_alpha 90.00
_cell_angle_beta 103.63
_cell_angle_gamma 90.00
loop_
_symmetry_equiv_pos_as_xyz
'x,y,z'
loop_
_atom_site_label
_atom_site_fract_x
_atom_site_fract_y
_atom_site_fract_z
Sc1 0.0000 0.0000 0.0000
Be1 0.5000 0.0000 0.5000
Cd1 0.3733 0.5000 0.7277
Cd2 0.6267 0.5000 0.2723
```

## Properties
As for the total magnetization: 0.000 Bohr magnetons per cell. For the theoretical density, the calculation gives 6102 kg/m3. The value obtained for the energy above the most stable polymorph in this dataset is 68 meV/atom. For the raw total energy, the calculation gives -11.571 eV/cell. The calculation puts the formation energy at 1.83 kcal/mol of atoms.



No. 2
Entry from Alexandria via LeMat-Bulk: crystalline EuHgBi2 at its relaxed geometry (PBE).

The structure in CIF format:
```
data_EuHgBi2
_chemical_formula_sum 'Eu1 Hg1 Bi2'
_symmetry_space_group_name_H-M 'P 1'
_symmetry_Int_Tables_number 1
_cell_length_a 5.4284
_cell_length_b 5.4284
_cell_length_c 5.4284
_cell_angle_alpha 65.09
_cell_angle_beta 65.09
_cell_angle_gamma 65.09
loop_
_symmetry_equiv_pos_as_xyz
'x,y,z'
loop_
_atom_site_label
_atom_site_fract_x
_atom_site_fract_y
_atom_site_fract_z
Eu1 0.0000 0.0000 0.0000
Hg1 0.5000 0.5000 0.5000
Bi1 0.2649 0.2649 0.2649
Bi2 0.7351 0.7351 0.7351
```

## Properties
As for the total magnetization: 7.302 Bohr magnetons per cell. For the theoretical density, the calculation gives 10181 kg/m3. For the raw total energy, the calculation gives -19.226 eV/cell. The calculation puts the formation energy at -5.12 kcal/mol of atoms.



No. 3
Entry from Alexandria via LeMat-Bulk: crystalline Nb2HgAs at its relaxed geometry (PBE).

The structure in CIF format:
```
data_Nb2HgAs
_chemical_formula_sum 'Nb4 Hg2 As2'
_symmetry_space_group_name_H-M 'P 1'
_symmetry_Int_Tables_number 1
_cell_length_a 10.3692
_cell_length_b 10.3692
_cell_length_c 10.3692
_cell_angle_alpha 157.78
_cell_angle_beta 157.78
_cell_angle_gamma 31.63
loop_
_symmetry_equiv_pos_as_xyz
'x,y,z'
loop_
_atom_site_label
_atom_site_fract_x
_atom_site_fract_y
_atom_site_fract_z
Nb1 0.1165 0.6250 0.9915
Nb2 0.3750 0.3665 0.4915
Nb3 0.6335 0.1250 0.0085
Nb4 0.8750 0.8835 0.5085
Hg1 0.2500 0.7500 0.5000
Hg2 0.5000 0.5000 0.0000
As1 0.0000 0.0000 0.0000
As2 0.7500 0.2500 0.5000
```

## Properties
As for the total magnetization: 0.000 Bohr magnetons per cell. For the theoretical density, the calculation gives 9614 kg/m3. The value obtained for the energy above the most stable polymorph in this dataset is 265 meV/atom. For the raw total energy, the calculation gives -46.928 eV/cell. The calculation puts the formation energy at 9.38 kcal/mol of atoms.



No. 4
Entry from Alexandria via LeMat-Bulk: crystalline MgSbPt6 at its relaxed geometry (PBE).

The structure in CIF format:
```
data_MgSbPt6
_chemical_formula_sum 'Mg1 Sb1 Pt6'
_symmetry_space_group_name_H-M 'P 1'
_symmetry_Int_Tables_number 1
_cell_length_a 4.0059
_cell_length_b 4.0059
_cell_length_c 8.0856
_cell_angle_alpha 90.00
_cell_angle_beta 90.00
_cell_angle_gamma 90.00
loop_
_symmetry_equiv_pos_as_xyz
'x,y,z'
loop_
_atom_site_label
_atom_site_fract_x
_atom_site_fract_y
_atom_site_fract_z
Mg1 0.0000 0.0000 0.0000
Sb1 0.0000 0.0000 0.5000
Pt1 0.0000 0.5000 0.2423
Pt2 0.0000 0.5000 0.7577
Pt3 0.5000 0.0000 0.2423
Pt4 0.5000 0.0000 0.7577
Pt5 0.5000 0.5000 0.0000
Pt6 0.5000 0.5000 0.5000
```

## Properties
As for the total magnetization: 0.000 Bohr magnetons per cell. The calculation puts the formation energy without anion corrections at -441 meV per atom. For the theoretical density, the calculation gives 16849 kg/m3. For the raw total energy, the calculation gives -45.489 eV/cell.



No. 5
Entry from Alexandria via LeMat-Bulk: crystalline Nd2SmEr3S6 at its relaxed geometry (PBE).

The structure in CIF format:
```
data_Nd2SmEr3S6
_chemical_formula_sum 'Nd2 Sm1 Er3 S6'
_symmetry_space_group_name_H-M 'P 1'
_symmetry_Int_Tables_number 1
_cell_length_a 8.8898
_cell_length_b 8.8898
_cell_length_c 8.0132
_cell_angle_alpha 104.42
_cell_angle_beta 104.42
_cell_angle_gamma 25.44
loop_
_symmetry_equiv_pos_as_xyz
'x,y,z'
loop_
_atom_site_label
_atom_site_fract_x
_atom_site_fract_y
_atom_site_fract_z
Nd1 0.1669 0.1669 0.3339
Nd2 0.8331 0.8331 0.6661
Sm1 0.5000 0.5000 0.0000
Er1 0.1673 0.1673 0.8335
Er2 0.5000 0.5000 0.5000
Er3 0.8327 0.8327 0.1665
S1 0.0044 0.0044 0.7424
S2 0.3305 0.3305 0.9285
S3 0.3378 0.3378 0.4054
S4 0.6622 0.6622 0.5946
S5 0.6695 0.6695 0.0715
S6 0.9956 0.9956 0.2576
```

## Properties
As for the total magnetization: 0.000 Bohr magnetons per cell. The calculation puts the formation energy without anion corrections at -1997 meV per atom. For the theoretical density, the calculation gives 7152 kg/m3. For the raw total energy, the calculation gives -76.671 eV/cell.



No. 6
Entry from Alexandria via LeMat-Bulk: crystalline Li5Ga2Rh at its relaxed geometry (PBE).

The structure in CIF format:
```
data_Li5Ga2Rh
_chemical_formula_sum 'Li10 Ga4 Rh2'
_symmetry_space_group_name_H-M 'P 1'
_symmetry_Int_Tables_number 1
_cell_length_a 5.4334
_cell_length_b 10.7595
_cell_length_c 4.0688
_cell_angle_alpha 90.00
_cell_angle_beta 90.00
_cell_angle_gamma 90.00
loop_
_symmetry_equiv_pos_as_xyz
'x,y,z'
loop_
_atom_site_label
_atom_site_fract_x
_atom_site_fract_y
_atom_site_fract_z
Li1 0.0000 0.0000 0.0000
Li2 0.0897 0.2472 0.0000
Li3 0.2061 0.8693 0.5000
Li4 0.2939 0.3693 0.5000
Li5 0.4103 0.7472 0.0000
Li6 0.5000 0.5000 0.0000
Li7 0.5897 0.2528 0.0000
Li8 0.7061 0.6307 0.5000
Li9 0.7939 0.1307 0.5000
Li10 0.9103 0.7528 0.0000
Ga1 0.1869 0.6099 0.5000
Ga2 0.3131 0.1099 0.5000
Ga3 0.6869 0.8901 0.5000
Ga4 0.8131 0.3901 0.5000
Rh1 0.0000 0.5000 0.0000
Rh2 0.5000 0.0000 0.0000
```

## Properties
As for the total magnetization: 0.000 Bohr magnetons per cell. For the theoretical density, the calculation gives 3868 kg/m3. The value obtained for the energy above the most stable polymorph in this dataset is 0 meV/atom. For the raw total energy, the calculation gives -51.026 eV/cell. The calculation puts the formation energy at -7.32 kcal/mol of atoms.



No. 7
Entry from Alexandria via LeMat-Bulk: crystalline KLa2Al at its relaxed geometry (PBE).

The structure in CIF format:
```
data_KLa2Al
_chemical_formula_sum 'K1 La2 Al1'
_symmetry_space_group_name_H-M 'P 1'
_symmetry_Int_Tables_number 1
_cell_length_a 5.2847
_cell_length_b 5.2847
_cell_length_c 4.7209
_cell_angle_alpha 90.00
_cell_angle_beta 90.00
_cell_angle_gamma 90.00
loop_
_symmetry_equiv_pos_as_xyz
'x,y,z'
loop_
_atom_site_label
_atom_site_fract_x
_atom_site_fract_y
_atom_site_fract_z
K1 0.0000 0.0000 0.0000
La1 0.0000 0.5000 0.5000
La2 0.5000 0.0000 0.5000
Al1 0.5000 0.5000 0.0000
```

## Properties
As for the total magnetization: 0.000 Bohr magnetons per cell. For the theoretical density, the calculation gives 4331 kg/m3. For the raw total energy, the calculation gives -13.785 eV/cell. The calculation puts the formation energy at 5.25 kcal/mol of atoms.



No. 8
Entry from Alexandria via LeMat-Bulk: crystalline Th3Cu4Au4 at its relaxed geometry (PBE).

The structure in CIF format:
```
data_Th3Cu4Au4
_chemical_formula_sum 'Th3 Cu4 Au4'
_symmetry_space_group_name_H-M 'P 1'
_symmetry_Int_Tables_number 1
_cell_length_a 8.4322
_cell_length_b 8.4322
_cell_length_c 8.4322
_cell_angle_alpha 150.16
_cell_angle_beta 130.36
_cell_angle_gamma 59.00
loop_
_symmetry_equiv_pos_as_xyz
'x,y,z'
loop_
_atom_site_label
_atom_site_fract_x
_atom_site_fract_y
_atom_site_fract_z
Th1 0.0000 0.0000 0.0000
Th2 0.3621 0.8621 0.5000
Th3 0.6379 0.1379 0.5000
Cu1 0.0209 0.3294 0.6915
Cu2 0.3621 0.6706 0.6915
Cu3 0.6379 0.3294 0.3085
Cu4 0.9791 0.6706 0.3085
Au1 0.2132 0.2132 0.0000
Au2 0.3023 0.5000 0.8023
Au3 0.6977 0.5000 0.1977
Au4 0.7868 0.7868 0.0000
```

## Properties
As for the total magnetization: 0.000 Bohr magnetons per cell. For the theoretical density, the calculation gives 12795 kg/m3. For the raw total energy, the calculation gives -56.405 eV/cell. The calculation puts the formation energy at -9.75 kcal/mol of atoms.